Density functional theory data (GGA+U) for a relaxed structure of CsVCoO4.

Structure (CIF):
```
data_CsVCoO4
_cell_length_a 5.2270
_cell_length_b 5.6411
_cell_length_c 10.6520
_cell_angle_alpha 90.00
_cell_angle_beta 115.53
_cell_angle_gamma 90.00
_symmetry_space_group_name_H-M 'P 1'
_symmetry_Int_Tables_number 1
loop_
_symmetry_equiv_pos_as_xyz
'x,y,z'
loop_
_atom_site_label
_atom_site_fract_x
_atom_site_fract_y
_atom_site_fract_z
Cs1 0.5071 0.7500 0.8308
O1 0.9631 0.4956 0.6196
O2 0.9631 0.0044 0.6196
Co1 0.1499 0.2500 0.5251
Co2 0.8501 0.7500 0.4749
O3 0.4665 0.7500 0.3219
O4 0.8937 0.7500 0.1267
O5 0.0369 0.9956 0.3804
O6 0.5335 0.2500 0.6781
Cs2 0.4929 0.2500 0.1692
V1 0.1143 0.7500 0.2977
O7 0.1063 0.2500 0.8733
V2 0.8857 0.2500 0.7023
O8 0.0369 0.5044 0.3804
```

Properties
density of states at the Fermi level	0.00	states/eV per atom
total magnetic moment	0.43	μB/atom
crystal system	monoclinic
VASP energy	-6.454	eV/atom